A relaxed ScIn2IrSe crystal, computed with PBE.

a = 5.0554 Å, b = 5.0554 Å, c = 5.2025 Å
α = 90.00°, β = 90.00°, γ = 90.00°
Last column: nearest neighbours and their distance in Å.
Space group P4/mmm (No. 123)
Inequivalent atoms, fractional coordinates:
Sc: 0.0000 0.0000 0.0000 x1  4 Se 3.57, 8 In 3.63
In: 0.0000 0.5000 0.5000 x2  2 Ir 2.53
Ir: 0.5000 0.5000 0.5000 x1  4 In 2.53, 2 Se 2.60
Se: 0.5000 0.5000 0.0000 x1  2 Ir 2.60

Calculated values
Raw formation energy   0.26 eV per atom
Crystal system   tetragonal
Total energy   -4.569 eV/atom
Total magnetic moment   0.0 μB/cell
Calculated volume   132.96 Å³/cell